The following is a GGA-PBE calculation of crystalline KAcPd4 at its relaxed geometry, from the Alexandria database.

Lattice parameters (Å, degrees): 5.620 5.620 5.620 60.00 60.00 60.00
Fractional positions:
K: 0.000 0.000 0.000
Pd: 0.625 0.625 0.625
Pd: 0.625 0.625 0.125
Pd: 0.125 0.625 0.625
Pd: 0.625 0.125 0.625
Ac: 0.250 0.250 0.250

Calculated values
The calculation puts the calculated density at 9.15 g/cm3. As for the total energy: -4.8241 eV/atom. Its formation energy is -47.7 kJ/mol of atoms.